A plane-wave DFT calculation with PBE was carried out for AlSn4Se6 after structural relaxation.

Summary:
density of states at the Fermi level: 0.005 states/eV/atom
space-group type: P1
ΔE_f (raw): -45.3 kJ/mol of atoms

Structure (POSCAR):
```
AlSn4Se6
1.0
7.364 0.000 0.000
3.662 8.399 0.000
3.431 1.103 11.499
Al Sn Se
2 8 12
Cartesian
0.000 0.000 0.000
7.239 5.008 5.911
3.807 4.700 4.872
6.050 6.910 8.710
4.886 3.380 1.301
5.723 0.706 6.440
7.940 7.498 3.175
10.736 9.021 10.675
9.816 3.849 9.192
8.191 1.975 3.656
3.452 1.321 9.120
5.299 4.443 7.209
3.747 1.990 3.366
5.497 7.084 0.787
7.146 7.439 6.223
7.283 3.182 10.424
7.015 4.597 3.565
10.714 7.588 8.496
9.073 3.587 6.509
10.463 7.594 4.408
9.242 6.857 0.571
7.392 2.206 0.956
```